# Li4InSn (PBE, optimized geometry)
data_Li4InSn
_symmetry_space_group_name_H-M 'P -1'
_symmetry_Int_Tables_number 2
_cell_length_a 4.6757
_cell_length_b 5.5191
_cell_length_c 5.5331
_cell_angle_alpha 94.60
_cell_angle_beta 114.84
_cell_angle_gamma 114.76
loop_
_symmetry_equiv_pos_as_xyz
'x,y,z'
'-x,-y,-z'
loop_
_atom_site_label
_atom_site_fract_x
_atom_site_fract_y
_atom_site_fract_z
Li1 0.2362 0.0702 0.4020
Li2 0.2585 0.4243 0.0917
In1 0.0000 0.5000 0.5000
Sn1 0.5000 0.0000 0.0000
# Energy relative to the elements   -0.32 eV/atom
# Mass density   3.9 g/cm³
# Energy   -16.29 eV/cell